## LaAgAs (PBE-GGA)

Data for LaAgAs after structural relaxation.

Unit cell a=7.077 b=7.077 c=7.077 alpha=90.00 beta=90.00 gamma=90.00
Fractional coordinates of all 12 atoms:
La 0.000 0.000 0.000
La 0.000 0.500 0.500
La 0.500 0.000 0.500
La 0.500 0.500 0.000
Ag 0.250 0.250 0.250
Ag 0.250 0.750 0.750
Ag 0.750 0.250 0.750
Ag 0.750 0.750 0.250
As 0.250 0.250 0.750
As 0.250 0.750 0.250
As 0.750 0.250 0.250
As 0.750 0.750 0.750

**Energy of formation**: -1.3 eV per formula unit
**Calculated density**: 6.027 g cm⁻³
**Magnetic moment**: 0.000 μB/atom



## La2Ag2As (PBE-GGA)

Data for La2Ag2As after structural relaxation.

Unit cell a=7.756 b=7.756 c=4.336 alpha=90.00 beta=90.00 gamma=90.00
Fractional coordinates of all 10 atoms:
La 0.179 0.321 0.000
La 0.321 0.821 0.000
La 0.679 0.179 0.000
La 0.821 0.679 0.000
Ag 0.125 0.625 0.500
Ag 0.375 0.125 0.500
Ag 0.625 0.875 0.500
Ag 0.875 0.375 0.500
As 0.000 0.000 0.500
As 0.500 0.500 0.500

**Energy of formation**: -2.2 eV per formula unit
**Calculated density**: 7.238 g cm⁻³
**Magnetic moment**: 0.000 μB/atom



no.,volume (Å³ per atom)
1,29.5
2,26.1